# 1
This record from Alexandria describes crystalline MoW2Cl at its relaxed geometry. The functional is PBE-GGA.

It has space group P4/mmm (No. 123), with a = 3.022 Å, b = 3.022 Å, c = 7.161 Å, α = 90.00°, β = 90.00° and γ = 90.00°. The asymmetric unit holds Mo at (0.000, 0.000, 0.000), W at (0.500, 0.500, 0.231) and Cl at (0.000, 0.000, 0.500).

The value obtained for the calculated volume is 16.346 A^3/atom. For the energy above the lowest structure with this stoichiometry, the calculation gives 269 meV/atom. Its density of states at the Fermi level is 0.96 states/eV/atom. The value obtained for the uncorrected formation energy is 0.628 eV/atom.


# 2
This record from Alexandria describes crystalline Mo2WCl at its relaxed geometry. The functional is PBE-GGA.

It has space group P4/mmm (No. 123), with a = 3.037 Å, b = 3.037 Å, c = 7.178 Å, α = 90.00°, β = 90.00° and γ = 90.00°. The asymmetric unit holds Mo at (0.000, 0.000, 0.228), W at (0.500, 0.500, 0.000) and Cl at (0.500, 0.500, 0.500).

The value obtained for the calculated volume is 16.555 A^3/atom. For the energy above the lowest structure with this stoichiometry, the calculation gives 117 meV/atom. Its density of states at the Fermi level is 0.89 states/eV/atom. The value obtained for the uncorrected formation energy is 0.366 eV/atom.


# 3
This record from Alexandria describes crystalline MoW2Cl at its relaxed geometry. The functional is PBE-GGA.

It has space group I4/mmm (No. 139), with a = 3.740 Å, b = 3.740 Å, c = 9.286 Å, α = 90.00°, β = 90.00° and γ = 90.00°. The asymmetric unit holds Mo at (0.000, 0.000, 0.000), W at (0.000, 0.500, 0.250) and Cl at (0.000, 0.000, 0.500).

The value obtained for the calculated volume is 16.240 A^3/atom. For the energy above the lowest structure with this stoichiometry, the calculation gives 821 meV/atom. Its density of states at the Fermi level is 1.27 states/eV/atom. The value obtained for the uncorrected formation energy is 1.181 eV/atom.


The highest calculated volume belongs to which entry? Mo2WCl


Please write out number 3 again, unchanged.
This record from Alexandria describes crystalline MoW2Cl at its relaxed geometry. The functional is PBE-GGA.

It has space group I4/mmm (No. 139), with a = 3.740 Å, b = 3.740 Å, c = 9.286 Å, α = 90.00°, β = 90.00° and γ = 90.00°. The asymmetric unit holds Mo at (0.000, 0.000, 0.000), W at (0.000, 0.500, 0.250) and Cl at (0.000, 0.000, 0.500).

The value obtained for the calculated volume is 16.240 A^3/atom. For the energy above the lowest structure with this stoichiometry, the calculation gives 821 meV/atom. Its density of states at the Fermi level is 1.27 states/eV/atom. The value obtained for the uncorrected formation energy is 1.181 eV/atom.


Which formula does entry 1 have? MoW2Cl


Which of these has the lowest calculated volume? number 3